No. 1
Here is crystalline Ce2PuTh3S6 at its relaxed geometry from Alexandria via LeMat-Bulk. Energies are from PBE-GGA.

* space-group type: No. 12

```
data_Ce2PuTh3S6
_symmetry_space_group_name_H-M 'P 1'
_symmetry_Int_Tables_number 1
_cell_length_a 8.990
_cell_length_b 8.990
_cell_length_c 8.027
_cell_angle_alpha 103.00
_cell_angle_beta 103.00
_cell_angle_gamma 25.85
loop_
_symmetry_equiv_pos_as_xyz
'x,y,z'
loop_
_atom_site_label
_atom_site_type_symbol
_atom_site_fract_x
_atom_site_fract_y
_atom_site_fract_z
_atom_site_occupancy
Ce1 Ce 0.167 0.167 0.334 1
Ce2 Ce 0.833 0.833 0.666 1
Pu1 Pu 0.500 0.500 0.000 1
Th1 Th 0.167 0.167 0.833 1
Th2 Th 0.500 0.500 0.500 1
Th3 Th 0.833 0.833 0.167 1
S1 S 0.000 0.000 0.243 1
S2 S 0.000 0.000 0.757 1
S3 S 0.333 0.333 0.418 1
S4 S 0.336 0.336 0.916 1
S5 S 0.664 0.664 0.084 1
S6 S 0.667 0.667 0.582 1
```

***

No. 2
Here is crystalline CePu2ThS4 at its relaxed geometry from Alexandria via LeMat-Bulk. Energies are from PBE-GGA.

* space-group type: No. 10

```
data_CePu2ThS4
_symmetry_space_group_name_H-M 'P 1'
_symmetry_Int_Tables_number 1
_cell_length_a 6.878
_cell_length_b 3.973
_cell_length_c 6.949
_cell_angle_alpha 90.00
_cell_angle_beta 109.27
_cell_angle_gamma 90.00
loop_
_symmetry_equiv_pos_as_xyz
'x,y,z'
loop_
_atom_site_label
_atom_site_type_symbol
_atom_site_fract_x
_atom_site_fract_y
_atom_site_fract_z
_atom_site_occupancy
Ce1 Ce 0.000 0.000 0.000 1
Pu1 Pu 0.000 0.500 0.500 1
Pu2 Pu 0.500 0.000 0.500 1
Th1 Th 0.500 0.500 0.000 1
S1 S 0.245 0.000 0.739 1
S2 S 0.252 0.500 0.259 1
S3 S 0.748 0.500 0.741 1
S4 S 0.755 0.000 0.261 1
```

***

No. 3
Here is crystalline CePuTl2S4 at its relaxed geometry from Alexandria via LeMat-Bulk. Energies are from PBE-GGA.

* space-group type: No. 10

```
data_CePuTl2S4
_symmetry_space_group_name_H-M 'P 1'
_symmetry_Int_Tables_number 1
_cell_length_a 7.164
_cell_length_b 4.135
_cell_length_c 7.833
_cell_angle_alpha 90.00
_cell_angle_beta 107.76
_cell_angle_gamma 90.00
loop_
_symmetry_equiv_pos_as_xyz
'x,y,z'
loop_
_atom_site_label
_atom_site_type_symbol
_atom_site_fract_x
_atom_site_fract_y
_atom_site_fract_z
_atom_site_occupancy
Ce1 Ce 0.000 0.000 0.000 1
Pu1 Pu 0.500 0.500 0.000 1
Tl1 Tl 0.000 0.500 0.500 1
Tl2 Tl 0.500 0.000 0.500 1
S1 S 0.235 0.500 0.199 1
S2 S 0.270 0.000 0.804 1
S3 S 0.730 0.000 0.196 1
S4 S 0.765 0.500 0.801 1
```

***

No. 4
Here is crystalline Ce3PuTl3S8 at its relaxed geometry from Alexandria via LeMat-Bulk. Energies are from PBE-GGA.

* space-group type: No. 166

```
data_Ce3PuTl3S8
_symmetry_space_group_name_H-M 'P 1'
_symmetry_Int_Tables_number 1
_cell_length_a 8.863
_cell_length_b 8.863
_cell_length_c 8.863
_cell_angle_alpha 55.72
_cell_angle_beta 55.72
_cell_angle_gamma 55.72
loop_
_symmetry_equiv_pos_as_xyz
'x,y,z'
loop_
_atom_site_label
_atom_site_type_symbol
_atom_site_fract_x
_atom_site_fract_y
_atom_site_fract_z
_atom_site_occupancy
Ce1 Ce 0.000 0.500 0.500 1
Ce2 Ce 0.500 0.000 0.500 1
Ce3 Ce 0.500 0.500 0.000 1
Pu1 Pu 0.000 0.000 0.000 1
Tl1 Tl 0.000 0.000 0.500 1
Tl2 Tl 0.000 0.500 0.000 1
Tl3 Tl 0.500 0.000 0.000 1
S1 S 0.229 0.229 0.735 1
S2 S 0.229 0.735 0.229 1
S3 S 0.265 0.771 0.771 1
S4 S 0.266 0.266 0.266 1
S5 S 0.734 0.734 0.734 1
S6 S 0.735 0.229 0.229 1
S7 S 0.771 0.265 0.771 1
S8 S 0.771 0.771 0.265 1
```

***

No. 5
Here is crystalline Ce2TmPuS4 at its relaxed geometry from Alexandria via LeMat-Bulk. Energies are from PBE-GGA.

* space-group type: No. 10

```
data_Ce2TmPuS4
_symmetry_space_group_name_H-M 'P 1'
_symmetry_Int_Tables_number 1
_cell_length_a 6.833
_cell_length_b 3.936
_cell_length_c 6.901
_cell_angle_alpha 90.00
_cell_angle_beta 109.21
_cell_angle_gamma 90.00
loop_
_symmetry_equiv_pos_as_xyz
'x,y,z'
loop_
_atom_site_label
_atom_site_type_symbol
_atom_site_fract_x
_atom_site_fract_y
_atom_site_fract_z
_atom_site_occupancy
Ce1 Ce 0.000 0.000 0.000 1
Ce2 Ce 0.500 0.500 0.000 1
Tm1 Tm 0.000 0.500 0.500 1
Pu1 Pu 0.500 0.000 0.500 1
S1 S 0.241 0.000 0.737 1
S2 S 0.249 0.500 0.261 1
S3 S 0.751 0.500 0.739 1
S4 S 0.759 0.000 0.263 1
```

***

No. 6
Here is crystalline Ce3Tm3PuS8 at its relaxed geometry from Alexandria via LeMat-Bulk. Energies are from PBE-GGA.

* space-group type: No. 166

```
data_Ce3Tm3PuS8
_symmetry_space_group_name_H-M 'P 1'
_symmetry_Int_Tables_number 1
_cell_length_a 7.927
_cell_length_b 7.927
_cell_length_c 7.927
_cell_angle_alpha 59.17
_cell_angle_beta 59.17
_cell_angle_gamma 59.17
loop_
_symmetry_equiv_pos_as_xyz
'x,y,z'
loop_
_atom_site_label
_atom_site_type_symbol
_atom_site_fract_x
_atom_site_fract_y
_atom_site_fract_z
_atom_site_occupancy
Ce1 Ce 0.000 0.500 0.500 1
Ce2 Ce 0.500 0.000 0.500 1
Ce3 Ce 0.500 0.500 0.000 1
Tm1 Tm 0.000 0.000 0.500 1
Tm2 Tm 0.000 0.500 0.000 1
Tm3 Tm 0.500 0.000 0.000 1
Pu1 Pu 0.500 0.500 0.500 1
S1 S 0.237 0.751 0.751 1
S2 S 0.244 0.244 0.244 1
S3 S 0.249 0.249 0.763 1
S4 S 0.249 0.763 0.249 1
S5 S 0.751 0.237 0.751 1
S6 S 0.751 0.751 0.237 1
S7 S 0.756 0.756 0.756 1
S8 S 0.763 0.249 0.249 1
```

***

No. 7
Here is crystalline CeTm3Pu2S6 at its relaxed geometry from Alexandria via LeMat-Bulk. Energies are from PBE-GGA.

* space-group type: No. 12

```
data_CeTm3Pu2S6
_symmetry_space_group_name_H-M 'P 1'
_symmetry_Int_Tables_number 1
_cell_length_a 8.777
_cell_length_b 8.777
_cell_length_c 7.880
_cell_angle_alpha 103.87
_cell_angle_beta 103.87
_cell_angle_gamma 25.57
loop_
_symmetry_equiv_pos_as_xyz
'x,y,z'
loop_
_atom_site_label
_atom_site_type_symbol
_atom_site_fract_x
_atom_site_fract_y
_atom_site_fract_z
_atom_site_occupancy
Ce1 Ce 0.000 0.000 0.000 1
Tm1 Tm 0.000 0.000 0.500 1
Tm2 Tm 0.333 0.333 0.167 1
Tm3 Tm 0.667 0.667 0.833 1
Pu1 Pu 0.334 0.334 0.668 1
Pu2 Pu 0.666 0.666 0.332 1
S1 S 0.165 0.165 0.588 1
S2 S 0.170 0.170 0.078 1
S3 S 0.497 0.497 0.260 1
S4 S 0.503 0.503 0.740 1
S5 S 0.830 0.830 0.922 1
S6 S 0.835 0.835 0.412 1
```

***

No. 8
Here is crystalline CePuU2S4 at its relaxed geometry from Alexandria via LeMat-Bulk. Energies are from PBE-GGA.

* space-group type: No. 10

```
data_CePuU2S4
_symmetry_space_group_name_H-M 'P 1'
_symmetry_Int_Tables_number 1
_cell_length_a 6.827
_cell_length_b 3.884
_cell_length_c 6.836
_cell_angle_alpha 90.00
_cell_angle_beta 109.09
_cell_angle_gamma 90.00
loop_
_symmetry_equiv_pos_as_xyz
'x,y,z'
loop_
_atom_site_label
_atom_site_type_symbol
_atom_site_fract_x
_atom_site_fract_y
_atom_site_fract_z
_atom_site_occupancy
Ce1 Ce 0.000 0.000 0.000 1
Pu1 Pu 0.500 0.500 0.000 1
U1 U 0.000 0.500 0.500 1
U2 U 0.500 0.000 0.500 1
S1 S 0.252 0.000 0.746 1
S2 S 0.255 0.500 0.256 1
S3 S 0.745 0.500 0.744 1
S4 S 0.748 0.000 0.254 1
```

***

No. 9
Here is crystalline Ce2Pu3US6 at its relaxed geometry from Alexandria via LeMat-Bulk. Energies are from PBE-GGA.

* space-group type: No. 12

```
data_Ce2Pu3US6
_symmetry_space_group_name_H-M 'P 1'
_symmetry_Int_Tables_number 1
_cell_length_a 8.858
_cell_length_b 8.858
_cell_length_c 7.960
_cell_angle_alpha 103.17
_cell_angle_beta 103.17
_cell_angle_gamma 25.69
loop_
_symmetry_equiv_pos_as_xyz
'x,y,z'
loop_
_atom_site_label
_atom_site_type_symbol
_atom_site_fract_x
_atom_site_fract_y
_atom_site_fract_z
_atom_site_occupancy
Ce1 Ce 0.164 0.164 0.334 1
Ce2 Ce 0.836 0.836 0.666 1
Pu1 Pu 0.168 0.168 0.833 1
Pu2 Pu 0.500 0.500 0.500 1
Pu3 Pu 0.832 0.832 0.167 1
U1 U 0.500 0.500 0.000 1
S1 S 0.003 0.003 0.753 1
S2 S 0.333 0.333 0.412 1
S3 S 0.335 0.335 0.924 1
S4 S 0.665 0.665 0.076 1
S5 S 0.667 0.667 0.588 1
S6 S 0.997 0.997 0.247 1
```

***

No. 10
Here is crystalline Ce4Y3PuS8 at its relaxed geometry from Alexandria via LeMat-Bulk. Energies are from PBE-GGA.

* space-group type: No. 166

```
data_Ce4Y3PuS8
_symmetry_space_group_name_H-M 'P 1'
_symmetry_Int_Tables_number 1
_cell_length_a 7.965
_cell_length_b 7.965
_cell_length_c 7.965
_cell_angle_alpha 59.77
_cell_angle_beta 59.77
_cell_angle_gamma 59.77
loop_
_symmetry_equiv_pos_as_xyz
'x,y,z'
loop_
_atom_site_label
_atom_site_type_symbol
_atom_site_fract_x
_atom_site_fract_y
_atom_site_fract_z
_atom_site_occupancy
Ce1 Ce 0.000 0.000 0.000 1
Ce2 Ce 0.000 0.500 0.500 1
Ce3 Ce 0.500 0.000 0.500 1
Ce4 Ce 0.500 0.500 0.000 1
Y1 Y 0.000 0.000 0.500 1
Y2 Y 0.000 0.500 0.000 1
Y3 Y 0.500 0.000 0.000 1
Pu1 Pu 0.500 0.500 0.500 1
S1 S 0.246 0.748 0.748 1
S2 S 0.247 0.247 0.247 1
S3 S 0.252 0.252 0.754 1
S4 S 0.252 0.754 0.252 1
S5 S 0.748 0.246 0.748 1
S6 S 0.748 0.748 0.246 1
S7 S 0.753 0.753 0.753 1
S8 S 0.754 0.252 0.252 1
```

***

No. 11
Here is crystalline CeY2PuS4 at its relaxed geometry from Alexandria via LeMat-Bulk. Energies are from PBE-GGA.

* space-group type: No. 10

```
data_CeY2PuS4
_symmetry_space_group_name_H-M 'P 1'
_symmetry_Int_Tables_number 1
_cell_length_a 6.829
_cell_length_b 3.935
_cell_length_c 6.901
_cell_angle_alpha 90.00
_cell_angle_beta 109.19
_cell_angle_gamma 90.00
loop_
_symmetry_equiv_pos_as_xyz
'x,y,z'
loop_
_atom_site_label
_atom_site_type_symbol
_atom_site_fract_x
_atom_site_fract_y
_atom_site_fract_z
_atom_site_occupancy
Ce1 Ce 0.000 0.000 0.000 1
Y1 Y 0.000 0.500 0.500 1
Y2 Y 0.500 0.000 0.500 1
Pu1 Pu 0.500 0.500 0.000 1
S1 S 0.251 0.000 0.744 1
S2 S 0.255 0.500 0.258 1
S3 S 0.745 0.500 0.742 1
S4 S 0.749 0.000 0.256 1
```

***

No. 12
Here is crystalline Ce2Y3PuS6 at its relaxed geometry from Alexandria via LeMat-Bulk. Energies are from PBE-GGA.

* space-group type: No. 12

```
data_Ce2Y3PuS6
_symmetry_space_group_name_H-M 'P 1'
_symmetry_Int_Tables_number 1
_cell_length_a 8.878
_cell_length_b 8.878
_cell_length_c 7.963
_cell_angle_alpha 103.48
_cell_angle_beta 103.48
_cell_angle_gamma 25.67
loop_
_symmetry_equiv_pos_as_xyz
'x,y,z'
loop_
_atom_site_label
_atom_site_type_symbol
_atom_site_fract_x
_atom_site_fract_y
_atom_site_fract_z
_atom_site_occupancy
Ce1 Ce 0.167 0.167 0.334 1
Ce2 Ce 0.833 0.833 0.666 1
Y1 Y 0.167 0.167 0.834 1
Y2 Y 0.500 0.500 0.500 1
Y3 Y 0.833 0.833 0.166 1
Pu1 Pu 0.500 0.500 0.000 1
S1 S 0.002 0.002 0.749 1
S2 S 0.333 0.333 0.923 1
S3 S 0.336 0.336 0.410 1
S4 S 0.664 0.664 0.590 1
S5 S 0.667 0.667 0.077 1
S6 S 0.998 0.998 0.251 1
```

***

Number 1: uncorrected formation energy -2208 kJ/mol of formula units. Number 2: uncorrected formation energy -1442 kJ/mol of formula units. Number 3: uncorrected formation energy -1017 kJ/mol of formula units. Number 4: uncorrected formation energy -2088 kJ/mol of formula units. Number 5: uncorrected formation energy -1514 kJ/mol of formula units. Number 6: uncorrected formation energy -2867 kJ/mol of formula units. Number 7: uncorrected formation energy -2233 kJ/mol of formula units. Number 8: uncorrected formation energy -1235 kJ/mol of formula units. Number 9: uncorrected formation energy -2068 kJ/mol of formula units. Number 10: uncorrected formation energy -3098 kJ/mol of formula units. Number 11: uncorrected formation energy -1523 kJ/mol of formula units. Number 12: uncorrected formation energy -2308 kJ/mol of formula units.